PaTaRu: optimized geometry, PBE-GGA.

The space group is P3m1 (No. 156) and the conventional cell measures 4.6359, 4.6359 and 3.0060 Å, with angles of 90.00, 90.00 and 120.00 degrees. The asymmetric unit holds Pa at (0.0000, 0.0000, 0.0000), Ta at (0.6667, 0.3333, 0.3256) and Ru at (0.3333, 0.6667, 0.7131).

The calculation puts the energy of formation at 63 meV per atom. The value obtained for the raw total energy is -10.145 eV/atom.

Pm5Ga2: optimized geometry, PBE-GGA.

The space group is C2/c (No. 15) and the conventional cell measures 16.0419, 6.3099 and 8.3792 Å, with angles of 90.00, 97.82 and 90.00 degrees. The asymmetric unit holds Pm at (0.0000, 0.1317, 0.2500), Pm at (0.0941, 0.3628, 0.9233), Pm at (0.2218, 0.0860, 0.3203) and Ga at (0.1026, 0.1922, 0.5825).

The calculation puts the energy of formation at -304 meV per atom. The value obtained for the raw total energy is -4.562 eV/atom. The calculation puts the relative energy among the computed polymorphs at 0.000 eV per atom.

Ba2SiN: optimized geometry, PBE-GGA.

The space group is Fm-3m (No. 225) and the conventional cell measures 7.6815, 7.6815 and 7.6815 Å, with angles of 90.00, 90.00 and 90.00 degrees. The asymmetric unit holds Ba at (0.2500, 0.2500, 0.2500), Si at (0.0000, 0.0000, 0.0000) and N at (0.0000, 0.0000, 0.5000).

The value obtained for the raw total energy is -3.932 eV/atom. The calculation puts the relative energy among the computed polymorphs at 0.289 eV per atom. As for the formation energy without anion corrections: 0.47 eV per atom.

LiZrIr4: optimized geometry, PBE-GGA.

The space group is F-43m (No. 216) and the conventional cell measures 7.3562, 7.3562 and 7.3562 Å, with angles of 90.00, 90.00 and 90.00 degrees. The asymmetric unit holds Li at (0.0000, 0.0000, 0.0000), Zr at (0.2500, 0.2500, 0.7500) and Ir at (0.1253, 0.1253, 0.3747).

The calculation puts the energy of formation at -421 meV per atom. The value obtained for the raw total energy is -8.072 eV/atom.

PdRh2W2: optimized geometry, PBE-GGA.

The space group is I4/mmm (No. 139) and the conventional cell measures 3.9013, 3.9013 and 11.4110 Å, with angles of 90.00, 90.00 and 90.00 degrees. The asymmetric unit holds Pd at (0.0000, 0.0000, 0.0000), Rh at (0.0000, 0.0000, 0.3944) and W at (0.0000, 0.5000, 0.2500).

The calculation puts the energy of formation at 407 meV per atom. The value obtained for the raw total energy is -8.754 eV/atom.

Si2HgRh: optimized geometry, PBE-GGA.

The space group is Immm (No. 71) and the conventional cell measures 2.8029, 4.7645 and 10.6335 Å, with angles of 90.00, 90.00 and 90.00 degrees. The asymmetric unit holds Si at (0.0000, 0.0000, 0.1957), Hg at (0.0000, 0.5000, 0.0000) and Rh at (0.0000, 0.5000, 0.5000).

The value obtained for the raw total energy is -4.476 eV/atom. As for the formation energy without anion corrections: 0.15 eV per atom.

InFeAs2Cl: optimized geometry, PBE-GGA.

The space group is P4/mmm (No. 123) and the conventional cell measures 4.8452, 4.8452 and 5.2487 Å, with angles of 90.00, 90.00 and 90.00 degrees. The asymmetric unit holds In at (0.0000, 0.0000, 0.0000), Fe at (0.5000, 0.5000, 0.0000), As at (0.0000, 0.5000, 0.5000) and Cl at (0.0000, 0.0000, 0.5000).

The value obtained for the raw total energy is -3.036 eV/atom. As for the formation energy without anion corrections: 1.43 eV per atom.

PmScOsPt: optimized geometry, PBE-GGA.

The space group is F-43m (No. 216) and the conventional cell measures 6.8046, 6.8046 and 6.8046 Å, with angles of 90.00, 90.00 and 90.00 degrees. The asymmetric unit holds Pm at (0.0000, 0.0000, 0.0000), Sc at (0.0000, 0.0000, 0.5000), Os at (0.2500, 0.2500, 0.7500) and Pt at (0.2500, 0.2500, 0.2500).

The calculation puts the energy of formation at -563 meV per atom. The value obtained for the raw total energy is -7.651 eV/atom.

TaBeCr2: optimized geometry, PBE-GGA.

The space group is Cmmm (No. 65) and the conventional cell measures 3.2107, 4.0643 and 7.7441 Å, with angles of 90.00, 90.00 and 90.00 degrees. The asymmetric unit holds Ta at (0.0000, 0.0000, 0.0000), Be at (0.0000, 0.0000, 0.5000) and Cr at (0.0000, 0.5000, 0.2889).

The calculation puts the energy of formation at 214 meV per atom. The value obtained for the raw total energy is -8.492 eV/atom.

K2CaPt: optimized geometry, PBE-GGA.

The space group is R-3m (No. 166, hexagonal axes) and the conventional cell measures 3.8897, 3.8897 and 36.6325 Å, with angles of 90.00, 90.00 and 120.00 degrees. The asymmetric unit holds K at (0.0000, 0.0000, 0.2265), Ca at (0.0000, 0.0000, 0.0000) and Pt at (0.0000, 0.0000, 0.5000).

The calculation puts the energy of formation at 350 meV per atom. The value obtained for the raw total energy is -2.209 eV/atom. The calculation puts the relative energy among the computed polymorphs at 0.606 eV per atom.

Ce3Tc2B9: optimized geometry, PBE-GGA.

The space group is Immm (No. 71) and the conventional cell measures 3.0952, 8.4237 and 13.4443 Å, with angles of 90.00, 90.00 and 90.00 degrees. The asymmetric unit holds Ce at (0.0000, 0.0000, 0.0000), Ce at (0.0000, 0.0000, 0.2643), Tc at (0.0000, 0.1711, 0.5000), B at (0.0000, 0.2564, 0.1253), B at (0.0000, 0.3105, 0.3635) and B at (0.0000, 0.5000, 0.0000).

The calculation puts the energy of formation at -286 meV per atom. The value obtained for the raw total energy is -7.331 eV/atom.

InFeGeRu2: optimized geometry, PBE-GGA.

The space group is P4/mmm (No. 123) and the conventional cell measures 4.8509, 4.8509 and 4.6004 Å, with angles of 90.00, 90.00 and 90.00 degrees. The asymmetric unit holds In at (0.0000, 0.0000, 0.0000), Fe at (0.0000, 0.0000, 0.5000), Ge at (0.5000, 0.5000, 0.5000) and Ru at (0.0000, 0.5000, 0.0000).

The calculation puts the energy of formation at 2064 meV per atom. The value obtained for the raw total energy is -4.810 eV/atom.